# 1
Y2ScTl: optimized geometry, PBE.

Output
- Symmetry: P4/mmm, No. 123
- Uncorrected energy: -5.593 eV/atom
- ΔE_f: -186.7 meV per atom
- Total moment: 1.429 μB per formula unit

Cell and atoms, written as POSCAR:
```
Y2ScTl
1.0
-1.507 -3.720 -2.631
3.804 -2.551 1.428
-2.457 -1.605 3.677
Sc Y Tl
1 2 1
Direct
0.500 0.000 0.500
0.000 0.000 0.000
0.500 0.500 0.000
0.000 0.500 0.500
```

# 2
Y2ScTl: optimized geometry, PBE.

Output
- Symmetry: Cmmm, No. 65
- Uncorrected energy: -5.524 eV/atom
- ΔE_f: -117.2 meV per atom
- Total moment: 0.023 μB per formula unit

Cell and atoms, written as POSCAR:
```
Y2ScTl
1.0
-4.350 5.289 3.425
2.141 -4.503 2.912
1.593 2.197 2.228
Y Sc Tl
2 1 1
Direct
0.000 0.000 0.000
0.500 0.000 0.500
0.000 0.500 0.500
0.500 0.500 0.000
```

# 3
Y2ScTl: optimized geometry, PBE.

Output
- Symmetry: R3m, No. 160
- Uncorrected energy: -5.510 eV/atom
- ΔE_f: -103.6 meV per atom
- Total moment: 0.460 μB per formula unit

Cell and atoms, written as POSCAR:
```
Y2ScTl
1.0
-2.730 -0.442 2.195
0.573 -0.605 3.431
-0.907 10.178 3.763
Sc Y Tl
1 2 1
Direct
0.500 0.500 0.500
0.083 0.083 0.752
0.251 0.251 0.248
0.667 0.667 0.000
```